## CsSrBr3 (GGA-PBE)

Data for an optimized crystal structure of CsSrBr3.

Lattice parameters (Å, degrees): 16.0045 10.6726 10.6726 84.12 125.71 54.29
Last column: nearest neighbours and their distance in Å.
Positions (direct):
1 Br 0.0566 0.6604 0.5990  1 Sr 3.02
2 Br 0.9063 0.0540 0.0937  3 Sr 3.09-3.21
3 Br 0.4434 0.0990 0.1604  1 Sr 3.02
4 Br 0.9382 0.7448 0.8793  2 Sr 3.02-3.07
5 Br 0.4063 0.4063 0.4460  3 Sr 3.09-3.21
6 Br 0.5937 0.5937 0.5540  3 Sr 3.09-3.21
7 Br 0.5618 0.3793 0.2448  2 Sr 3.02-3.07
8 Br 0.5566 0.9010 0.8396  1 Sr 3.02
9 Br 0.0618 0.2552 0.1207  2 Sr 3.02-3.07
10 Br 0.9434 0.3396 0.4010  1 Sr 3.02
11 Br 0.4382 0.6207 0.7552  2 Sr 3.02-3.07
12 Br 0.0937 0.9460 0.9063  3 Sr 3.09-3.21
13 Cs 0.6258 0.1252 0.0539  6 Br 3.59-3.83
14 Cs 0.8742 0.5539 0.6252  6 Br 3.59-3.83
15 Cs 0.3742 0.8748 0.9461  6 Br 3.59-3.83
16 Cs 0.1258 0.4461 0.3748  6 Br 3.59-3.83
17 Sr 0.2500 0.5215 0.0215  6 Br 3.02-3.21
18 Sr 0.2500 0.8235 0.3235  6 Br 3.02-3.13
19 Sr 0.7500 0.4785 0.9785  6 Br 3.02-3.21
20 Sr 0.7500 0.1765 0.6765  6 Br 3.02-3.13

Summary:
formation energy without anion corrections: -1.982 eV/atom
V: 44.486 Å³/atom
size of the total moment: 0.000 μB per cell

=====

## SrLiTeI2 (GGA-PBE)

Data for an optimized crystal structure of SrLiTeI2.

Lattice parameters (Å, degrees): 6.3977 6.3977 6.4235 90.00 90.00 90.00
Last column: nearest neighbours and their distance in Å.
Positions (direct):
1 Sr 0.0000 0.0000 0.0000  4 I 3.20, 2 Te 3.21
2 I 0.0000 0.5000 0.0000  2 Sr 3.20
3 I 0.5000 0.0000 0.0000  2 Sr 3.20
4 Te 0.0000 0.0000 0.5000  2 Sr 3.21
5 Li 0.5000 0.5000 0.5000  4 Te 4.52, 8 I 4.53

Summary:
formation energy without anion corrections: -0.745 eV/atom
V: 52.584 Å³/atom
energy above the lowest structure with this stoichiometry: 0.171 eV/atom
size of the total moment: 1.024 μB per cell

=====

## K2PaPb3Se6 (GGA-PBE)

Data for an optimized crystal structure of K2PaPb3Se6.

Lattice parameters (Å, degrees): 7.8266 7.8266 7.5489 99.89 99.89 120.01
Last column: nearest neighbours and their distance in Å.
Positions (direct):
1 K 0.6684 0.3316 0.0000  6 Se 3.26-3.29
2 K 0.3316 0.6684 0.0000  6 Se 3.26-3.29
3 Se 0.9176 0.6252 0.7565  1 Pa 2.87, 2 Pb 3.06
4 Se 0.0824 0.3748 0.2435  1 Pa 2.87, 2 Pb 3.06
5 Se 0.6252 0.9176 0.7565  1 Pa 2.87, 2 Pb 3.06
6 Se 0.3748 0.0824 0.2435  1 Pa 2.87, 2 Pb 3.06
7 Se 0.7839 0.7839 0.2507  1 Pa 2.94, 2 Pb 2.97
8 Se 0.2161 0.2161 0.7493  1 Pa 2.94, 2 Pb 2.97
9 Pb 0.8413 0.1587 0.5000  4 Se 2.97-3.06
10 Pb 0.1587 0.8413 0.5000  4 Se 2.97-3.06
11 Pb 0.5000 0.5000 0.5000  6 Se 3.06-3.37
12 Pa 0.0000 0.0000 0.0000  6 Se 2.87-2.94

Summary:
formation energy without anion corrections: -0.968 eV/atom
V: 31.334 Å³/atom
size of the total moment: 1.004 μB per cell

=====

## DyReH (GGA-PBE)

Data for an optimized crystal structure of DyReH.

Lattice parameters (Å, degrees): 3.4879 3.5619 16.0287 90.00 90.00 90.00
Last column: nearest neighbours and their distance in Å.
Positions (direct):
1 H 0.2516 0.7500 0.3023  1 Dy 2.27
2 H 0.2484 0.7500 0.8023  1 Dy 2.27
3 H 0.7484 0.2500 0.6977  1 Dy 2.27
4 H 0.7516 0.2500 0.1977  1 Dy 2.27
5 Dy 0.7510 0.2500 0.3394  1 H 2.27
6 Dy 0.7490 0.2500 0.8394  1 H 2.27
7 Dy 0.2510 0.7500 0.1606  1 H 2.27
8 Dy 0.2490 0.7500 0.6606  1 H 2.27
9 Re 0.2500 0.2500 0.5017  4 Re 2.49
10 Re 0.2500 0.2500 0.0017  4 Re 2.49
11 Re 0.7500 0.7500 0.9983  4 Re 2.49
12 Re 0.7500 0.7500 0.4983  4 Re 2.49

Summary:
V: 16.594 Å³/atom
total DFT energy (no corrections): -6.796 eV/atom
size of the total moment: 0.001 μB per cell

=====

## SbMo (GGA-PBE)

Data for an optimized crystal structure of SbMo.

Lattice parameters (Å, degrees): 3.1557 3.1557 10.2684 90.00 90.00 120.00
Last column: nearest neighbours and their distance in Å.
Positions (direct):
1 Mo 0.0000 0.0000 0.0342  3 Mo 2.61
2 Mo 0.6667 0.3333 0.2158  3 Mo 2.61
3 Sb 0.0000 0.0000 0.4408  3 Mo 2.94, 6 Sb 3.16
4 Sb 0.6667 0.3333 0.8092  3 Mo 2.94, 6 Sb 3.16

Summary:
formation energy without anion corrections: 0.226 eV/atom
V: 22.139 Å³/atom
size of the total moment: 0.000 μB per cell

=====

## AsSe2Br (GGA-PBE)

Data for an optimized crystal structure of AsSe2Br.

Lattice parameters (Å, degrees): 5.7480 5.7480 5.3949 80.88 80.88 35.90
Last column: nearest neighbours and their distance in Å.
Positions (direct):
1 Se 0.4344 0.4344 0.6296  2 As 2.68, 2 Se 2.74
2 Se 0.0656 0.0656 0.8704  2 As 2.68, 2 Se 2.74
3 As 0.7500 0.7500 0.7500  4 Se 2.68
4 Br 0.2500 0.2500 0.2500  2 Se 3.11, 4 As 3.23

Summary:
formation energy without anion corrections: 0.225 eV/atom
V: 25.762 Å³/atom
energy above the lowest structure with this stoichiometry: 0.377 eV/atom
size of the total moment: 0.000 μB per cell

=====

## Pm4GaCu2 (GGA-PBE)

Data for an optimized crystal structure of Pm4GaCu2.

Lattice parameters (Å, degrees): 5.0606 5.0606 8.6351 72.96 72.96 60.00
Last column: nearest neighbours and their distance in Å.
Positions (direct):
1 Ga 0.0000 0.0000 0.0000  8 Pm 3.12-3.14, 6 Cu 3.49
2 Cu 0.2551 0.2551 0.2347  8 Pm 3.02-3.16
3 Cu 0.7449 0.7449 0.7653  8 Pm 3.02-3.16
4 Pm 0.8720 0.8720 0.3840  4 Cu 3.10-3.16, 1 Ga 3.12
5 Pm 0.1280 0.1280 0.6160  4 Cu 3.10-3.16, 1 Ga 3.12
6 Pm 0.6191 0.6191 0.1428  4 Cu 3.02-3.07, 3 Ga 3.14
7 Pm 0.3809 0.3809 0.8572  4 Cu 3.02-3.07, 3 Ga 3.14

Summary:
formation enthalpy at 0 K: -0.174 eV/atom
V: 25.745 Å³/atom
size of the total moment: 0.411 μB per cell

=====

## MgCd2Pt (GGA-PBE)

Data for an optimized crystal structure of MgCd2Pt.

Lattice parameters (Å, degrees): 5.2260 5.2260 5.2260 133.55 133.62 67.73
Last column: nearest neighbours and their distance in Å.
Positions (direct):
1 Cd 0.5000 0.5000 0.0000  4 Cd 2.91, 4 Mg 2.99, 4 Pt 2.99
2 Cd 0.0000 0.0000 0.0000  4 Cd 2.91, 4 Mg 2.99, 4 Pt 2.99
3 Pt 0.2500 0.7500 0.5000  4 Mg 2.91, 8 Cd 2.99
4 Mg 0.7500 0.2500 0.5000  4 Pt 2.91, 8 Cd 2.99

Summary:
formation enthalpy at 0 K: -0.389 eV/atom
V: 18.402 Å³/atom
size of the total moment: 0.000 μB per cell

=====

## LiGaC (GGA-PBE)

Data for an optimized crystal structure of LiGaC.

Lattice parameters (Å, degrees): 6.0913 4.0840 3.3419 90.00 90.00 90.00
Last column: nearest neighbours and their distance in Å.
Positions (direct):
1 Li 0.2500 0.0000 0.9922  2 C 2.09
2 Li 0.7500 0.0000 0.0078  2 C 2.09
3 C 0.2500 0.5000 0.8565  2 Ga 1.93, 2 Li 2.09
4 C 0.7500 0.5000 0.1435  2 Ga 1.93, 2 Li 2.09
5 Ga 0.0000 0.5000 0.5000  2 C 1.93
6 Ga 0.5000 0.5000 0.5000  2 C 1.93

Summary:
formation enthalpy at 0 K: 0.542 eV/atom
V: 13.856 Å³/atom
size of the total moment: 0.000 μB per cell

=====

## Ac5Pu3Se8 (GGA-PBE)

Data for an optimized crystal structure of Ac5Pu3Se8.

Lattice parameters (Å, degrees): 8.6943 8.6943 8.7443 60.19 60.19 60.00
Last column: nearest neighbours and their distance in Å.
Positions (direct):
1 Se 0.7501 0.2353 0.2644  2 Pu 2.99, 4 Ac 3.08-3.17
2 Se 0.2499 0.2499 0.7356  2 Pu 2.99, 4 Ac 3.08-3.17
3 Se 0.7647 0.2499 0.7356  2 Pu 2.99, 4 Ac 3.08-3.17
4 Se 0.7572 0.7572 0.7283  3 Pu 3.00, 3 Ac 3.18
5 Se 0.2499 0.7647 0.7356  2 Pu 2.99, 4 Ac 3.08-3.17
6 Se 0.2428 0.2428 0.2717  3 Pu 3.00, 3 Ac 3.18
7 Se 0.2353 0.7501 0.2644  2 Pu 2.99, 4 Ac 3.08-3.17
8 Se 0.7501 0.7501 0.2644  2 Pu 2.99, 4 Ac 3.08-3.17
9 Pu 0.0000 0.0000 0.5000  6 Se 2.99-3.00
10 Pu 0.0000 0.5000 0.5000  6 Se 2.99-3.00
11 Pu 0.5000 0.0000 0.5000  6 Se 2.99-3.00
12 Ac 0.5000 0.5000 0.5000  6 Se 3.09
13 Ac 0.5000 0.5000 0.0000  6 Se 3.17-3.18
14 Ac 0.0000 0.0000 0.0000  6 Se 3.08
15 Ac 0.0000 0.5000 0.0000  6 Se 3.17-3.18
16 Ac 0.5000 0.0000 0.0000  6 Se 3.17-3.18

Summary:
formation energy without anion corrections: -1.725 eV/atom
V: 29.295 Å³/atom
size of the total moment: 17.856 μB per cell

=====

## La3TbCe2Se6 (GGA-PBE)

Data for an optimized crystal structure of La3TbCe2Se6.

Lattice parameters (Å, degrees): 7.3353 7.3353 7.3731 99.57 99.57 120.06
Last column: nearest neighbours and their distance in Å.
Positions (direct):
1 Se 0.4077 0.0793 0.2389  1 Tb 2.92, 2 Ce 2.97, 3 La 3.03-3.06
2 Se 0.9207 0.5923 0.7611  1 Tb 2.92, 2 Ce 2.97, 3 La 3.03-3.06
3 Se 0.2478 0.2478 0.7594  1 Tb 2.93, 2 Ce 2.97, 3 La 3.03-3.07
4 Se 0.5923 0.9207 0.7611  1 Tb 2.92, 2 Ce 2.97, 3 La 3.03-3.06
5 Se 0.0793 0.4077 0.2389  1 Tb 2.92, 2 Ce 2.97, 3 La 3.03-3.06
6 Se 0.7522 0.7522 0.2406  1 Tb 2.93, 2 Ce 2.97, 3 La 3.03-3.07
7 Ce 0.6662 0.3338 0.0000  6 Se 2.97
8 Ce 0.3338 0.6662 0.0000  6 Se 2.97
9 La 0.8321 0.1679 0.5000  6 Se 3.03-3.06
10 La 0.5000 0.5000 0.5000  6 Se 3.03-3.07
11 La 0.1679 0.8321 0.5000  6 Se 3.03-3.06
12 Tb 0.0000 0.0000 0.0000  6 Se 2.92-2.93

Summary:
formation energy without anion corrections: -1.902 eV/atom
V: 26.982 Å³/atom
size of the total moment: 1.870 μB per cell

=====

## TaTc2Mo (GGA-PBE)

Data for an optimized crystal structure of TaTc2Mo.

Lattice parameters (Å, degrees): 5.2038 5.2038 4.5479 64.03 64.03 35.14
Last column: nearest neighbours and their distance in Å.
Positions (direct):
1 Mo 0.7500 0.7500 0.7500  4 Tc 2.70, 4 Ta 2.76
2 Tc 0.4997 0.4997 0.5003  2 Mo 2.70, 2 Ta 2.71, 4 Tc 2.76
3 Tc 0.0003 0.0003 0.9997  2 Mo 2.70, 2 Ta 2.71, 4 Tc 2.76
4 Ta 0.2500 0.2500 0.2500  4 Tc 2.71, 4 Mo 2.76

Summary:
formation enthalpy at 0 K: -0.092 eV/atom
V: 15.742 Å³/atom
energy above the lowest structure with this stoichiometry: 0.107 eV/atom
size of the total moment: 0.000 μB per cell

=====

## Bi2TeH2Pd7 (GGA-PBE)

Data for an optimized crystal structure of Bi2TeH2Pd7.

Lattice parameters (Å, degrees): 4.1518 4.1518 11.5894 79.60 79.60 90.02
Last column: nearest neighbours and their distance in Å.
Positions (direct):
1 Bi 0.1937 0.1937 0.6098  9 Pd 2.84-3.13
2 Bi 0.8063 0.8063 0.3902  9 Pd 2.84-3.13
3 Te 0.0000 0.0000 0.0000  12 Pd 2.90-2.94
4 Pd 0.0875 0.5879 0.8182  2 H 1.97-2.19
5 Pd 0.5000 0.5000 0.0000  2 H 1.98
6 Pd 0.9125 0.4121 0.1818  2 H 1.97-2.19
7 Pd 0.5879 0.0875 0.8182  2 H 1.97-2.19
8 Pd 0.3249 0.3249 0.3563  1 H 2.02
9 Pd 0.6751 0.6751 0.6437  1 H 2.02
10 Pd 0.4121 0.9125 0.1818  2 H 1.97-2.19
11 H 0.6120 0.6120 0.8234  6 Pd 1.97-2.19
12 H 0.3880 0.3880 0.1766  6 Pd 1.97-2.19

Summary:
V: 16.096 Å³/atom
total DFT energy (no corrections): -4.686 eV/atom
size of the total moment: 0.000 μB per cell

=====

## Li6Tl5Ga (GGA-PBE)

Data for an optimized crystal structure of Li6Tl5Ga.

Lattice parameters (Å, degrees): 4.8083 7.0259 8.3940 114.74 107.18 90.00
Last column: nearest neighbours and their distance in Å.
Positions (direct):
1 Li 0.4999 0.2391 0.9998  6 Tl 2.90-3.02, 2 Ga 2.93
2 Li 0.1628 0.9195 0.3253  1 Ga 2.90, 7 Tl 2.94-3.09
3 Li 0.8372 0.5941 0.6749  1 Ga 2.90, 7 Tl 2.94-3.09
4 Li 0.1628 0.4059 0.3251  1 Ga 2.90, 7 Tl 2.94-3.09
5 Li 0.8372 0.0805 0.6747  1 Ga 2.90, 7 Tl 2.94-3.09
6 Li 0.5001 0.7609 0.0002  6 Tl 2.90-3.02, 2 Ga 2.93
7 Tl 0.6677 0.6664 0.3329  8 Li 3.00-3.02
8 Tl 0.0000 0.5000 0.0000  8 Li 2.96-3.02
9 Tl 0.3376 0.8363 0.6728  8 Li 2.90-3.09
10 Tl 0.3323 0.3336 0.6671  8 Li 3.00-3.02
11 Tl 0.6624 0.1637 0.3272  8 Li 2.90-3.09
12 Ga 0.0000 0.0000 0.0000  8 Li 2.90-2.93

Summary:
formation enthalpy at 0 K: -0.214 eV/atom
V: 20.295 Å³/atom
size of the total moment: 0.000 μB per cell

=====

## PmGeO (GGA-PBE)

Data for an optimized crystal structure of PmGeO.

Lattice parameters (Å, degrees): 5.4557 3.8315 3.8315 120.00 90.00 90.00
Last column: nearest neighbours and their distance in Å.
Positions (direct):
1 O 0.1670 0.3333 0.6667  3 Pm 2.21
2 Ge 0.6664 0.6667 0.3333  6 O 3.51, 6 Pm 3.51, 6 Ge 3.83
3 Pm 0.1666 0.0000 0.0000  3 O 2.21

Summary:
formation energy without anion corrections: -1.462 eV/atom
V: 23.120 Å³/atom
energy above the lowest structure with this stoichiometry: 0.640 eV/atom
size of the total moment: 0.001 μB per cell

=====

## Y3VC3 (GGA-PBE)

Data for an optimized crystal structure of Y3VC3.

Lattice parameters (Å, degrees): 5.1004 6.8619 6.8629 99.95 90.00 90.00
Last column: nearest neighbours and their distance in Å.
Positions (direct):
1 Y 0.2500 0.8351 0.5993  4 C 2.50-2.55
2 Y 0.2500 0.4008 0.1646  4 C 2.50-2.55
3 Y 0.7500 0.1102 0.8897  5 C 2.49-2.63
4 Y 0.7500 0.1649 0.4007  4 C 2.50-2.55
5 Y 0.2500 0.8898 0.1103  5 C 2.49-2.63
6 Y 0.7500 0.5992 0.8354  4 C 2.50-2.55
7 C 0.2500 0.1743 0.4198  1 V 1.93
8 C 0.7500 0.8257 0.5802  1 V 1.93
9 C 0.2500 0.1262 0.8736  1 V 1.91
10 C 0.7500 0.8738 0.1264  1 V 1.91
11 C 0.7500 0.4199 0.1740  1 V 1.93
12 C 0.2500 0.5801 0.8260  1 V 1.93
13 V 0.7500 0.6918 0.3082  3 C 1.91-1.93
14 V 0.2500 0.3082 0.6918  3 C 1.91-1.93

Summary:
formation enthalpy at 0 K: -0.315 eV/atom
V: 16.899 Å³/atom
size of the total moment: 0.266 μB per cell

=====

## MgMn2TlRh (GGA-PBE)

Data for an optimized crystal structure of MgMn2TlRh.

Lattice parameters (Å, degrees): 4.9842 5.0582 4.9842 90.00 90.00 90.00
Last column: nearest neighbours and their distance in Å.
Positions (direct):
1 Rh 0.0000 0.5000 0.0000  2 Tl 2.53
2 Tl 0.0000 0.0000 0.0000  4 Mn 2.49, 2 Rh 2.53
3 Mn 0.5000 0.0000 0.0000  2 Tl 2.49
4 Mn 0.0000 0.0000 0.5000  2 Tl 2.49
5 Mg 0.5000 0.5000 0.5000  4 Rh 3.52, 8 Mn 3.55

Summary:
formation enthalpy at 0 K: 1.157 eV/atom
V: 25.132 Å³/atom
size of the total moment: 8.034 μB per cell